Computed, not measured: AcTm3Co after structural relaxation at the PBE level of DFT.

Unit cell a=5.3051 b=5.3051 c=5.3051 alpha=90.00 beta=90.00 gamma=90.00
Fractional positions:
1 Ac 0.0000 0.0000 0.0000
2 Tm 0.0000 0.5000 0.5000
3 Tm 0.5000 0.0000 0.5000
4 Tm 0.5000 0.5000 0.0000
5 Co 0.5000 0.5000 0.5000

## Properties
ΔE_f ... -0.0773 eV per atom
Fermi-level density of states ... 1.34 states/eV per atom
Mass density ... 8.8 Mg/m³
Total magnetic moment ... 0.000 μB per cell

Computed, not measured: AcTm2Co after structural relaxation at the PBE level of DFT.

Unit cell a=3.4602 b=3.4602 c=9.0563 alpha=90.00 beta=90.00 gamma=90.00
Fractional positions:
1 Ac 0.0000 0.0000 0.0000
2 Tm 0.5000 0.5000 0.3276
3 Tm 0.5000 0.5000 0.6724
4 Co 0.0000 0.0000 0.5000

## Properties
ΔE_f ... -0.0445 eV per atom
Fermi-level density of states ... 1.05 states/eV per atom
Mass density ... 9.6 Mg/m³
Total magnetic moment ... 0.583 μB per cell

Computed, not measured: AcTm2Co after structural relaxation at the PBE level of DFT.

Unit cell a=10.5791 b=10.5791 c=10.5791 alpha=20.37 beta=20.37 gamma=20.37
Fractional positions:
1 Ac 0.0000 0.0000 0.0000
2 Tm 0.1195 0.1195 0.1195
3 Tm 0.8805 0.8805 0.8805
4 Co 0.5000 0.5000 0.5000

## Properties
ΔE_f ... 0.0840 eV per atom
Fermi-level density of states ... 0.63 states/eV per atom
Mass density ... 8.2 Mg/m³
Total magnetic moment ... 0.000 μB per cell

Which formula does entry 3 have? AcTm2Co

Look up the total magnetic moment of the second one. 0.583 μB per cell

Please write out number 3 again, unchanged.
Computed, not measured: AcTm2Co after structural relaxation at the PBE level of DFT.

Unit cell a=10.5791 b=10.5791 c=10.5791 alpha=20.37 beta=20.37 gamma=20.37
Fractional positions:
1 Ac 0.0000 0.0000 0.0000
2 Tm 0.1195 0.1195 0.1195
3 Tm 0.8805 0.8805 0.8805
4 Co 0.5000 0.5000 0.5000

## Properties
ΔE_f ... 0.0840 eV per atom
Fermi-level density of states ... 0.63 states/eV per atom
Mass density ... 8.2 Mg/m³
Total magnetic moment ... 0.000 μB per cell